Below is Ni3AgN after structural relaxation, with properties calculated at the PBE level.

Geometry as CIF:
```
data_Ni3AgN
_chemical_formula_sum 'Ni6 Ag2 N2'
_cell_length_a 20.403
_cell_length_b 7.647
_cell_length_c 7.647
_cell_angle_alpha 152.81
_cell_angle_beta 160.65
_cell_angle_gamma 19.35
_symmetry_space_group_name_H-M 'P 1'
_symmetry_Int_Tables_number 1
_symmetry_space_group_name_Hall 'P 1'
loop_
_atom_site_label
_atom_site_fract_x
_atom_site_fract_y
_atom_site_fract_z
_atom_site_occupancy
Ni1 0.422 0.724 0.276 1
Ni2 0.578 0.276 0.724 1
Ni3 0.898 0.428 0.572 1
Ni4 0.102 0.945 0.055 1
Ni5 0.898 0.055 0.945 1
Ni6 0.102 0.572 0.428 1
N1 0.812 0.054 0.946 1
N2 0.188 0.946 0.054 1
Ag1 0.714 0.924 0.076 1
Ag2 0.286 0.076 0.924 1
```

Values from the calculation:
- relative energy among the computed polymorphs (meV/atom) = 281
- DOS at the Fermi energy (states/eV per cell) = 7.77
- energy relative to the elements, uncorrected (meV/atom) = 308
- crystal system = monoclinic
- total moment (Bohr magnetons per cell) = 0.0